(1)
3
Lattice="4.038 0.000 0.000 -2.019 3.497 0.000 0.000 0.000 3.183" Properties=species:S:1:pos:R:3 comment="PBE ScCoSi, relaxed" dft_energy_ev_per_cell=-20.89 magnetic_moment_mub_per_atom=0.2035 sg="P-6m2 (187)" formation_energy_uncorrected_ev_per_atom=-0.68 pbc="T T T"
Co 0.000 0.000 2.652
Sc 2.019 1.166 1.061
Si 0.000 2.331 2.653

(2)
12
Lattice="2.589 0.000 0.000 0.000 9.443 -4.603 0.000 -2.861 7.217" Properties=species:S:1:pos:R:3 comment="PBE Co4NiPt, relaxed" ef_mev_per_atom=-14 dft_energy_ev_per_cell=-80.66 magnetic_moment_mub_per_atom=1.3166 e_above_lowest_polymorph_mev_per_atom=0.0 sg="Pmmm (47)" pbc="T T T"
Co 1.295 5.469 0.617
Co 1.295 4.404 3.305
Co 2.589 8.468 -2.144
Co 2.589 4.266 -1.151
Co 0.000 -1.886 4.759
Co 0.000 2.316 3.766
Co 1.295 2.178 -0.690
Co 1.295 1.113 1.997
Ni 1.294 0.215 4.262
Ni 1.295 6.367 -1.648
Pt 0.000 3.291 1.307
Pt 0.000 0.000 0.000

(3)
6
Lattice="4.337 0.000 0.000 -2.169 3.756 0.000 0.000 0.000 10.841" Properties=species:S:1:pos:R:3 comment="PBE ThGeBi, relaxed" ef_mev_per_atom=-279 dft_energy_ev_per_cell=-33.51 magnetic_moment_mub_per_atom=0.0000 e_above_lowest_polymorph_mev_per_atom=258.4 sg="P-3m1 (164)" pbc="T T T"
Th 0.000 0.000 8.872
Th 0.000 0.000 1.969
Ge 0.000 2.504 10.731
Ge 2.169 1.252 0.110
Bi 2.169 1.252 6.574
Bi 0.000 2.504 4.267

(4)
8
Lattice="-0.096 3.017 -3.035 -5.104 -3.906 -3.721 -3.370 4.628 4.707" Properties=species:S:1:pos:R:3 comment="PBE Sr2LaCeP4, relaxed" ef_mev_per_atom=-1215 dft_energy_ev_per_cell=-45.58 magnetic_moment_mub_per_atom=0.0000 sg="P2/m (10)" pbc="T T T"
Sr -1.733 3.822 0.836
Sr -4.237 0.361 0.493
La 0.000 0.000 0.000
Ce -2.600 -0.444 -3.378
P -2.103 1.574 -1.387
P -6.467 2.165 -0.661
P -3.997 2.553 2.664
P -4.477 -1.831 -1.678

(5)
3
Lattice="5.017 0.000 0.000 2.509 4.345 0.000 2.509 1.448 4.097" Properties=species:S:1:pos:R:3 comment="PBE SrAlW, relaxed" ef_mev_per_atom=1979 dft_energy_ev_per_cell=-12.44 magnetic_moment_mub_per_atom=1.0231 e_above_lowest_polymorph_mev_per_atom=1396.2 sg="F-43m (216)" pbc="T T T"
Sr 7.526 4.345 3.072
Al 5.017 2.897 2.048
W 0.000 0.000 0.000

(6)
8
Lattice="4.072 0.032 0.005 0.045 5.617 0.004 2.057 1.521 9.343" Properties=species:S:1:pos:R:3 comment="PBE Sr3Ga2Au3, relaxed" ef_mev_per_atom=-566 dft_energy_ev_per_cell=-25.46 magnetic_moment_mub_per_atom=0.0000 e_above_lowest_polymorph_mev_per_atom=102.6 sg="P-1 (2)" pbc="T T T"
Sr 4.084 2.860 2.600
Sr 2.090 4.310 6.751
Sr 0.000 0.000 0.000
Ga 4.132 5.469 4.384
Ga 2.043 1.700 4.968
Au 2.087 5.661 2.695
Au 2.059 2.825 0.004
Au 4.088 1.509 6.656

(7)
5
Lattice="4.631 0.000 0.000 0.000 4.631 0.000 0.000 0.000 4.631" Properties=species:S:1:pos:R:3 comment="PBE ScGaRh3, relaxed" ef_mev_per_atom=695 dft_energy_ev_per_cell=-27.94 magnetic_moment_mub_per_atom=0.1670 e_above_lowest_polymorph_mev_per_atom=688.0 sg="Pm-3m (221)" pbc="T T T"
Sc 0.000 0.000 0.000
Rh 0.000 2.316 0.000
Rh 0.000 0.000 2.316
Rh 2.316 0.000 0.000
Ga 2.316 2.316 2.316

(8)
10
Lattice="3.060 0.000 -0.669 -0.270 6.135 -1.233 -0.069 -0.283 7.015" Properties=species:S:1:pos:R:3 comment="PBE TiNb5C4, relaxed" ef_mev_per_atom=-541 dft_energy_ev_per_cell=-100.55 magnetic_moment_mub_per_atom=0.0000 sg="C2/m (12)" pbc="T T T"
Ti 1.530 0.000 -0.335
Nb 2.325 3.951 3.298
Nb 2.469 0.762 3.957
Nb 0.253 5.090 1.155
Nb 1.395 3.067 -0.951
Nb 0.397 1.901 1.814
C 0.731 5.417 3.343
C 2.779 4.329 5.377
C 1.990 0.435 1.769
C -0.058 1.524 -0.265

(9)
4
Lattice="-2.763 2.491 1.500 -2.797 1.575 -2.405 -5.967 -3.984 0.986" Properties=species:S:1:pos:R:3 comment="PBE DyZr2Ni, relaxed" ef_mev_per_atom=93 dft_energy_ev_per_cell=-27.11 magnetic_moment_mub_per_atom=0.0000 e_above_lowest_polymorph_mev_per_atom=167.7 sg="R3m (160)" pbc="T T T"
Dy -5.777 0.024 0.045
Zr -5.305 -3.125 0.779
Zr -2.521 0.489 -0.093
Ni -9.656 -1.249 0.377

(10)
4
Lattice="0.504 -3.571 4.562 -4.300 -0.362 3.899 -3.255 -4.810 0.301" Properties=species:S:1:pos:R:3 comment="PBE Sr2BiSb, relaxed" dft_energy_ev_per_cell=-14.41 magnetic_moment_mub_per_atom=0.0000 e_above_lowest_polymorph_mev_per_atom=39.8 sg="Fm-3m (225)" formation_energy_uncorrected_ev_per_atom=-0.76 pbc="T T T"
Sb 0.000 0.000 0.000
Bi -3.526 -4.372 4.381
Sr -1.763 -2.186 2.190
Sr -5.288 -6.557 6.571

(11)
12
Lattice="6.170 -0.293 0.000 -0.783 6.127 0.000 0.000 0.000 9.349" Properties=species:S:1:pos:R:3 comment="PBE NdInSe4, relaxed" dft_energy_ev_per_cell=-51.83 magnetic_moment_mub_per_atom=0.0000 sg="Cmcm (63)" formation_energy_uncorrected_ev_per_atom=-0.74 pbc="T T T"
Nd 2.276 2.465 7.012
Nd 3.110 3.369 2.337
In 5.135 5.562 7.012
In 0.251 0.272 2.337
Se 3.829 0.297 2.337
Se 1.558 5.537 7.012
Se -0.009 3.841 2.337
Se 5.395 1.993 7.012
Se 3.868 4.189 5.125
Se 1.519 1.645 0.450
Se 3.868 4.189 8.899
Se 1.519 1.645 4.224

(12)
19
Lattice="-2.183 5.029 2.949 -4.704 1.464 -3.805 -4.707 -2.606 3.133" Properties=species:S:1:pos:R:3 comment="PBE Ni15Mo2W2, relaxed" ef_mev_per_atom=154 dft_energy_ev_per_cell=-131.35 magnetic_moment_mub_per_atom=0.1187 sg="R-3m (166)" pbc="T T T"
Ni -2.352 0.732 -1.903
Ni -2.353 -1.303 1.566
Ni -1.091 2.515 1.475
Ni -3.899 -0.164 3.074
Ni -2.989 3.889 0.789
Ni -4.705 0.162 -1.586
Ni -3.898 2.604 -1.645
Ni -4.706 -1.304 0.914
Ni -2.990 2.587 3.008
Ni -6.322 2.064 -1.068
Ni -6.323 0.077 2.320
Ni -5.090 3.805 2.230
Ni -5.272 1.823 3.344
Ni -5.271 3.810 -0.043
Ni -6.503 0.083 0.046
Mo -10.457 3.506 2.053
Mo -1.137 0.381 0.223
W -8.021 2.690 1.575
W -3.573 1.198 0.702